1.
DFT (PBEsol) results for a relaxed structure of CaTcHg2.

Lattice parameters (Å, degrees): 3.7937 4.4982 9.2810 90.00 90.00 90.00
Space group Imm2 (No. 44)
Asymmetric unit:
1 Ca 0.0000 0.0000 0.0000 (multiplicity 2)
2 Tc 0.0000 0.5000 0.7513 (multiplicity 2)
3 Hg 0.0000 0.0000 0.4819 (multiplicity 2)
4 Hg 0.0000 0.5000 0.2363 (multiplicity 2)

Properties
Size of the total moment = 0.000 μB per atom
Formation energy from the elements = 283 meV/atom
Raw total energy = -3.350 eV per atom

=====

2.
DFT (PBEsol) results for a relaxed structure of Ba2SrCa.

Lattice parameters (Å, degrees): 4.7616 6.5694 13.1240 90.00 90.00 90.00
Space group Immm (No. 71)
Asymmetric unit:
1 Ba 0.0000 0.0000 0.2460 (multiplicity 4)
2 Sr 0.0000 0.5000 0.0000 (multiplicity 2)
3 Ca 0.0000 0.5000 0.5000 (multiplicity 2)

Properties
Energy above the most stable polymorph in this dataset = 0.0 meV/atom
Size of the total moment = 0.000 μB per atom
Formation energy from the elements = 16 meV/atom
Raw total energy = -2.052 eV per atom

=====

3.
DFT (PBEsol) results for a relaxed structure of Cd3Rh.

Lattice parameters (Å, degrees): 3.0190 3.9659 5.9272 90.00 90.00 90.00
Space group Pmmm (No. 47)
Asymmetric unit:
1 Cd 0.0000 0.0000 0.0000 (multiplicity 1)
2 Cd 0.5000 0.5000 0.2690 (multiplicity 2)
3 Rh 0.0000 0.0000 0.5000 (multiplicity 1)

Properties
Size of the total moment = 0.000 μB per atom
Formation energy from the elements = -42 meV/atom
Raw total energy = -2.975 eV per atom

=====

4.
DFT (PBEsol) results for a relaxed structure of MoPIrO2.

Lattice parameters (Å, degrees): 3.6660 3.6660 5.2884 90.00 90.00 90.00
Space group P4/mmm (No. 123)
Asymmetric unit:
1 Mo 0.0000 0.0000 0.0000 (multiplicity 1)
2 P 0.0000 0.0000 0.5000 (multiplicity 1)
3 Ir 0.5000 0.5000 0.5000 (multiplicity 1)
4 O 0.0000 0.5000 0.0000 (multiplicity 2)

Properties
Size of the total moment = 0.214 μB per atom
ΔE_f (raw) = -400 meV/atom
Raw total energy = -7.976 eV per atom

=====

5.
DFT (PBEsol) results for a relaxed structure of Mo5W3.

Lattice parameters (Å, degrees): 6.2679 8.8657 4.4400 90.00 90.00 90.00
Space group Cmmm (No. 65)
Asymmetric unit:
1 Mo 0.0000 0.0000 0.0000 (multiplicity 2)
2 Mo 0.2496 0.0000 0.5000 (multiplicity 4)
3 Mo 0.2500 0.2500 0.0000 (multiplicity 4)
4 W 0.0000 0.2505 0.5000 (multiplicity 4)
5 W 0.0000 0.5000 0.0000 (multiplicity 2)

Properties
Energy above the most stable polymorph in this dataset = 0.0 meV/atom
Size of the total moment = 0.000 μB per atom
Formation energy from the elements = -6 meV/atom
Raw total energy = -12.538 eV per atom

=====

6.
DFT (PBEsol) results for a relaxed structure of LiCd2Pb.

Lattice parameters (Å, degrees): 3.6389 4.1345 5.9281 90.00 90.00 90.00
Space group Pmmm (No. 47)
Asymmetric unit:
1 Li 0.0000 0.0000 0.0000 (multiplicity 1)
2 Cd 0.5000 0.5000 0.2359 (multiplicity 2)
3 Pb 0.0000 0.0000 0.5000 (multiplicity 1)

Properties
Size of the total moment = 0.000 μB per atom
Formation energy from the elements = -106 meV/atom
Raw total energy = -2.196 eV per atom

=====

7.
DFT (PBEsol) results for a relaxed structure of MnZnSi2.

Lattice parameters (Å, degrees): 5.9691 5.9691 5.9691 90.00 90.00 90.00
Space group F-43m (No. 216)
Asymmetric unit:
1 Mn 0.0000 0.0000 0.0000 (multiplicity 4)
2 Zn 0.2500 0.2500 0.7500 (multiplicity 4)
3 Si 0.0000 0.0000 0.5000 (multiplicity 4)
4 Si 0.2500 0.2500 0.2500 (multiplicity 4)

Properties
Size of the total moment = 0.623 μB per atom
ΔE_f (raw) = 357 meV/atom
Raw total energy = -5.353 eV per atom

=====

8.
DFT (PBEsol) results for a relaxed structure of LiSc.

Lattice parameters (Å, degrees): 3.1128 3.1128 9.2266 90.00 90.00 90.00
Space group P4/nmm (No. 129, origin choice 2)
Asymmetric unit:
1 Li 0.2500 0.2500 0.1156 (multiplicity 2)
2 Sc 0.2500 0.2500 0.6231 (multiplicity 2)

Properties
Energy above the most stable polymorph in this dataset = 25.2 meV/atom
Size of the total moment = 0.211 μB per atom
Formation energy from the elements = 115 meV/atom
Raw total energy = -4.170 eV per atom

=====

9.
DFT (PBEsol) results for a relaxed structure of MgReBi2Br.

Lattice parameters (Å, degrees): 5.3720 5.3720 5.0321 90.00 90.00 90.00
Space group P4/mmm (No. 123)
Asymmetric unit:
1 Mg 0.0000 0.0000 0.0000 (multiplicity 1)
2 Re 0.0000 0.0000 0.5000 (multiplicity 1)
3 Bi 0.0000 0.5000 0.0000 (multiplicity 2)
4 Br 0.5000 0.5000 0.5000 (multiplicity 1)

Properties
Size of the total moment = 0.627 μB per atom
ΔE_f (raw) = 1446 meV/atom
Raw total energy = -3.652 eV per atom

=====

10.
DFT (PBEsol) results for a relaxed structure of BaCoSO.

Lattice parameters (Å, degrees): 3.8951 12.4910 6.0169 90.00 90.00 90.00
Space group Cmcm (No. 63)
Asymmetric unit:
1 Ba 0.0000 0.1163 0.2500 (multiplicity 4)
2 Co 0.0000 0.4083 0.2500 (multiplicity 4)
3 S 0.0000 0.1838 0.7500 (multiplicity 4)
4 O 0.0000 0.5000 0.0000 (multiplicity 4)

Properties
Size of the total moment = 0.707 μB per atom
ΔE_f (raw) = -1452 meV/atom
Raw total energy = -6.332 eV per atom

=====

11.
DFT (PBEsol) results for a relaxed structure of Rb2ReGeW.

Lattice parameters (Å, degrees): 6.4837 6.4837 4.6062 90.00 90.00 90.00
Space group P4/mmm (No. 123)
Asymmetric unit:
1 Rb 0.0000 0.5000 0.0000 (multiplicity 2)
2 Re 0.0000 0.0000 0.0000 (multiplicity 1)
3 Ge 0.5000 0.5000 0.5000 (multiplicity 1)
4 W 0.0000 0.0000 0.5000 (multiplicity 1)

Properties
Size of the total moment = 0.228 μB per atom
Formation energy from the elements = 2097 meV/atom
Raw total energy = -4.728 eV per atom

=====

12.
DFT (PBEsol) results for a relaxed structure of BaTa5.

Lattice parameters (Å, degrees): 12.6079 2.9563 7.0178 90.00 107.29 90.00
Space group Cm (No. 8)
Asymmetric unit:
1 Ba 0.0000 0.0000 0.0000 (multiplicity 2)
2 Ta 0.0390 0.0000 0.5748 (multiplicity 2)
3 Ta 0.1601 0.5000 0.3708 (multiplicity 2)
4 Ta 0.2177 0.5000 0.8807 (multiplicity 2)
5 Ta 0.3201 0.0000 0.6306 (multiplicity 2)
6 Ta 0.3408 0.0000 0.2623 (multiplicity 2)

Properties
Energy above the most stable polymorph in this dataset = 75.0 meV/atom
Size of the total moment = 0.000 μB per atom
Formation energy from the elements = 736 meV/atom
Raw total energy = -10.081 eV per atom

=====

13.
DFT (PBEsol) results for a relaxed structure of KCd2.

Lattice parameters (Å, degrees): 13.0075 3.1390 8.4926 90.00 91.52 90.00
Space group Cm (No. 8)
Asymmetric unit:
1 K 0.0000 0.0000 0.0000 (multiplicity 2)
2 K 0.2441 0.0000 0.7041 (multiplicity 2)
3 Cd 0.0021 0.5000 0.6156 (multiplicity 2)
4 Cd 0.1304 0.5000 0.3448 (multiplicity 2)
5 Cd 0.2619 0.0000 0.1269 (multiplicity 2)
6 Cd 0.3836 0.5000 0.3723 (multiplicity 2)

Properties
Size of the total moment = 0.000 μB per atom
Formation energy from the elements = 43 meV/atom
Raw total energy = -1.133 eV per atom

=====

14.
DFT (PBEsol) results for a relaxed structure of BiAu2S.

Lattice parameters (Å, degrees): 6.7552 6.7552 8.2306 90.00 90.00 90.00
Space group I-42d (No. 122)
Asymmetric unit:
1 Bi 0.0000 0.0000 0.0000 (multiplicity 4)
2 Au 0.2059 0.7500 0.6250 (multiplicity 8)
3 S 0.0000 0.0000 0.5000 (multiplicity 4)

Properties
Size of the total moment = 0.000 μB per atom
ΔE_f (raw) = 146 meV/atom
Raw total energy = -3.984 eV per atom

=====

15.
DFT (PBEsol) results for a relaxed structure of Si2SeN2.

Lattice parameters (Å, degrees): 10.7560 5.5813 4.8791 90.00 90.00 90.00
Space group Cmc2_1 (No. 36)
Asymmetric unit:
1 Si 0.1874 0.1455 0.0000 (multiplicity 8)
2 Se 0.0000 0.2814 0.1490 (multiplicity 4)
3 N 0.2223 0.1284 0.6536 (multiplicity 8)

Properties
Size of the total moment = 0.000 μB per atom
ΔE_f (raw) = -918 meV/atom
Raw total energy = -7.397 eV per atom

=====

16.
DFT (PBEsol) results for a relaxed structure of Ba3CeIr2O9.

Lattice parameters (Å, degrees): 5.8834 5.8834 14.6665 90.00 90.00 120.00
Space group P6_3/mmc (No. 194)
Asymmetric unit:
1 Ba 0.0000 0.0000 0.2500 (multiplicity 2)
2 Ba 0.3333 0.6667 0.1000 (multiplicity 4)
3 Ce 0.0000 0.0000 0.0000 (multiplicity 2)
4 Ir 0.3333 0.6667 0.6658 (multiplicity 4)
5 O 0.0116 0.5058 0.7500 (multiplicity 6)
6 O 0.1755 0.3510 0.5876 (multiplicity 12)

Properties
Size of the total moment = 0.000 μB per atom
ΔE_f (raw) = -2189 meV/atom
Raw total energy = -7.518 eV per atom

=====

17.
DFT (PBEsol) results for a relaxed structure of YMoP2O.

Lattice parameters (Å, degrees): 4.8003 4.8003 3.7477 90.00 90.00 90.00
Space group P4/mmm (No. 123)
Asymmetric unit:
1 Y 0.0000 0.0000 0.0000 (multiplicity 1)
2 Mo 0.5000 0.5000 0.5000 (multiplicity 1)
3 P 0.0000 0.5000 0.5000 (multiplicity 2)
4 O 0.5000 0.5000 0.0000 (multiplicity 1)

Properties
Size of the total moment = 0.000 μB per atom
ΔE_f (raw) = -988 meV/atom
Raw total energy = -8.072 eV per atom

=====

18.
DFT (PBEsol) results for a relaxed structure of Mg2GeH2.

Lattice parameters (Å, degrees): 6.4001 6.4001 3.3737 90.00 90.00 90.00
Space group P4/mbm (No. 127)
Asymmetric unit:
1 Mg 0.2116 0.2884 0.0000 (multiplicity 4)
2 Ge 0.0000 0.0000 0.5000 (multiplicity 2)
3 H 0.0451 0.5451 0.5000 (multiplicity 4)

Properties
Energy above the most stable polymorph in this dataset = 201.9 meV/atom
Size of the total moment = 0.000 μB per atom
Raw total energy = -2.923 eV per atom

=====

19.
DFT (PBEsol) results for a relaxed structure of TaCd2Fe.

Lattice parameters (Å, degrees): 6.4509 6.4509 6.4509 90.00 90.00 90.00
Space group Fm-3m (No. 225)
Asymmetric unit:
1 Ta 0.0000 0.0000 0.0000 (multiplicity 4)
2 Cd 0.2500 0.2500 0.2500 (multiplicity 8)
3 Fe 0.0000 0.0000 0.5000 (multiplicity 4)

Properties
Energy above the most stable polymorph in this dataset = 420.8 meV/atom
Size of the total moment = 0.479 μB per atom
Formation energy from the elements = 620 meV/atom
Raw total energy = -5.357 eV per atom

=====

20.
DFT (PBEsol) results for a relaxed structure of K2YRe.

Lattice parameters (Å, degrees): 7.7392 7.7392 7.7392 90.00 90.00 90.00
Space group Fm-3m (No. 225)
Asymmetric unit:
1 K 0.2500 0.2500 0.2500 (multiplicity 8)
2 Y 0.0000 0.0000 0.0000 (multiplicity 4)
3 Re 0.0000 0.0000 0.5000 (multiplicity 4)

Properties
Energy above the most stable polymorph in this dataset = 610.0 meV/atom
Size of the total moment = 0.469 μB per atom
Formation energy from the elements = 1833 meV/atom
Raw total energy = -3.772 eV per atom